(1)
# GGA-PBE Zn3ReB, optimized geometry
# crystal system: cubic
# spin magnetization: 0.00 μB/cell
# energy: -13.9 eV/cell
# E_form: 1.811 eV/atom
data_Zn3ReB
_chemical_formula_sum 'Zn3 Re1 B1'
_space_group_name_H-M_alt 'P m -3 m'
_space_group_IT_number 221
_space_group_name_Hall '-P 4 2 3'
_cell_length_a 4.8401
_cell_length_b 4.8401
_cell_length_c 4.8401
_cell_angle_alpha 90.00
_cell_angle_beta 90.00
_cell_angle_gamma 90.00
loop_
_atom_site_label
_atom_site_type_symbol
_atom_site_fract_x
_atom_site_fract_y
_atom_site_fract_z
Zn1 Zn 0.0000 0.0000 0.5000
Re1 Re 0.0000 0.0000 0.0000
B1 B 0.5000 0.5000 0.5000

***

(2)
# GGA-PBE ZnRe2B2, optimized geometry
# crystal system: tetragonal
# spin magnetization: 0.00 μB/cell
# energy: -74.5 eV/cell
# E_form: 0.459 eV/atom
data_ZnRe2B2
_chemical_formula_sum 'Zn2 Re4 B4'
_space_group_name_H-M_alt 'I 4/m m m'
_space_group_IT_number 139
_space_group_name_Hall '-I 4 2'
_cell_length_a 4.0499
_cell_length_b 4.0499
_cell_length_c 7.8506
_cell_angle_alpha 90.00
_cell_angle_beta 90.00
_cell_angle_gamma 90.00
loop_
_atom_site_label
_atom_site_type_symbol
_atom_site_fract_x
_atom_site_fract_y
_atom_site_fract_z
Zn1 Zn 0.0000 0.0000 0.0000
Re1 Re 0.0000 0.0000 0.3437
B1 B 0.0000 0.5000 0.2500

***

(3)
# GGA-PBE ZnReB, optimized geometry
# crystal system: monoclinic
# spin magnetization: 0.00 μB/cell
# energy: -77.7 eV/cell
# E_form: 0.327 eV/atom
data_ZnReB
_chemical_formula_sum 'Zn4 Re4 B4'
_space_group_name_H-M_alt 'C 1 2/m 1'
_space_group_IT_number 12
_space_group_name_Hall '-C 2y'
_cell_length_a 8.9635
_cell_length_b 3.2345
_cell_length_c 5.7168
_cell_angle_alpha 90.00
_cell_angle_beta 104.98
_cell_angle_gamma 90.00
loop_
_atom_site_label
_atom_site_type_symbol
_atom_site_fract_x
_atom_site_fract_y
_atom_site_fract_z
Zn1 Zn 0.1326 0.0000 0.3407
Re1 Re 0.1207 0.5000 0.9199
B1 B 0.1904 0.0000 0.7412

***

(4)
# GGA-PBE ZnRe2B2, optimized geometry
# crystal system: tetragonal
# spin magnetization: 0.00 μB/cell
# energy: -76.1 eV/cell
# E_form: 0.295 eV/atom
data_ZnRe2B2
_chemical_formula_sum 'Zn2 Re4 B4'
_space_group_name_H-M_alt 'P 4/m b m'
_space_group_IT_number 127
_space_group_name_Hall '-P 4 2ab'
_cell_length_a 6.4007
_cell_length_b 6.4007
_cell_length_c 2.8481
_cell_angle_alpha 90.00
_cell_angle_beta 90.00
_cell_angle_gamma 90.00
loop_
_atom_site_label
_atom_site_type_symbol
_atom_site_fract_x
_atom_site_fract_y
_atom_site_fract_z
Zn1 Zn 0.0000 0.0000 0.0000
Re1 Re 0.1447 0.3553 0.0000
B1 B 0.1401 0.6401 0.5000

***

(5)
# GGA-PBE ZnRe2B, optimized geometry
# crystal system: tetragonal
# spin magnetization: 0.00 μB/cell
# energy: -116.0 eV/cell
# E_form: 0.960 eV/atom
data_ZnRe2B
_chemical_formula_sum 'Zn4 Re8 B4'
_space_group_name_H-M_alt 'I -4 2 d'
_space_group_IT_number 122
_space_group_name_Hall 'I -4 2bw'
_cell_length_a 3.7555
_cell_length_b 3.7555
_cell_length_c 16.7650
_cell_angle_alpha 90.00
_cell_angle_beta 90.00
_cell_angle_gamma 90.00
loop_
_atom_site_label
_atom_site_type_symbol
_atom_site_fract_x
_atom_site_fract_y
_atom_site_fract_z
Zn1 Zn 0.0000 0.0000 0.0000
Re1 Re 0.1946 0.2500 0.6250
B1 B 0.0000 0.0000 0.5000

***

(6)
# GGA-PBE ZnRe2B2, optimized geometry
# crystal system: tetragonal
# spin magnetization: 0.00 μB/cell
# energy: -79.5 eV/cell
# E_form: -0.047 eV/atom
data_ZnRe2B2
_chemical_formula_sum 'Zn2 Re4 B4'
_space_group_name_H-M_alt 'P 4/m b m'
_space_group_IT_number 127
_space_group_name_Hall '-P 4 2ab'
_cell_length_a 5.8528
_cell_length_b 5.8528
_cell_length_c 3.1185
_cell_angle_alpha 90.00
_cell_angle_beta 90.00
_cell_angle_gamma 90.00
loop_
_atom_site_label
_atom_site_type_symbol
_atom_site_fract_x
_atom_site_fract_y
_atom_site_fract_z
Zn1 Zn 0.0000 0.0000 0.0000
Re1 Re 0.1721 0.3279 0.5000
B1 B 0.1147 0.6147 0.0000

***

(7)
# GGA-PBE ZnRe2B, optimized geometry
# crystal system: trigonal
# spin magnetization: 0.00 μB/cell
# energy: -94.1 eV/cell
# E_form: 0.369 eV/atom
data_ZnRe2B
_chemical_formula_sum 'Zn3 Re6 B3'
_space_group_name_H-M_alt 'R -3 m'
_space_group_IT_number 166
_space_group_name_Hall '-R 3 2"'
_cell_length_a 2.9297
_cell_length_b 2.9297
_cell_length_c 23.2084
_cell_angle_alpha 90.00
_cell_angle_beta 90.00
_cell_angle_gamma 120.00
loop_
_atom_site_label
_atom_site_type_symbol
_atom_site_fract_x
_atom_site_fract_y
_atom_site_fract_z
Zn1 Zn 0.0000 0.0000 0.0000
Re1 Re 0.0000 0.0000 0.1111
B1 B 0.0000 0.0000 0.5000

***

(8)
# GGA-PBE ZnRe2B, optimized geometry
# crystal system: cubic
# spin magnetization: 0.00 μB/cell
# energy: -120.4 eV/cell
# E_form: 0.686 eV/atom
data_ZnRe2B
_chemical_formula_sum 'Zn4 Re8 B4'
_space_group_name_H-M_alt 'F m -3 m'
_space_group_IT_number 225
_space_group_name_Hall '-F 4 2 3'
_cell_length_a 5.8229
_cell_length_b 5.8229
_cell_length_c 5.8229
_cell_angle_alpha 90.00
_cell_angle_beta 90.00
_cell_angle_gamma 90.00
loop_
_atom_site_label
_atom_site_type_symbol
_atom_site_fract_x
_atom_site_fract_y
_atom_site_fract_z
Zn1 Zn 0.0000 0.0000 0.0000
Re1 Re 0.2500 0.2500 0.2500
B1 B 0.0000 0.0000 0.5000